(w)
VASP calculation (PBE) on crystalline TmReNO at its relaxed geometry.

Cell and atoms, written as CIF:
```
data_TmReNO
_symmetry_space_group_name_H-M 'P m c 21'
_symmetry_Int_Tables_number 26
_cell_length_a 3.2081
_cell_length_b 5.5665
_cell_length_c 6.2033
_cell_angle_alpha 90.00
_cell_angle_beta 90.00
_cell_angle_gamma 90.00
loop_
_symmetry_equiv_pos_as_xyz
'x,y,z'
'-x,-y,z+1/2'
'-x,y,z'
'x,-y,z+1/2'
loop_
_atom_site_label
_atom_site_type_symbol
_atom_site_fract_x
_atom_site_fract_y
_atom_site_fract_z
Tm1 Tm 0.0000 0.1682 0.0000
Re1 Re 0.5000 0.3259 0.4511
N1 N 0.5000 0.4091 0.1628
O1 O 0.0000 0.1836 0.6515
```

(x)
VASP calculation (PBE) on crystalline TmReNO at its relaxed geometry.

Cell and atoms, written as CIF:
```
data_TmReNO
_symmetry_space_group_name_H-M 'P 4/n m m'
_symmetry_Int_Tables_number 129
_cell_length_a 3.7704
_cell_length_b 3.7704
_cell_length_c 7.5845
_cell_angle_alpha 90.00
_cell_angle_beta 90.00
_cell_angle_gamma 90.00
loop_
_symmetry_equiv_pos_as_xyz
'x,y,z'
'-x,-y,-z'
'-y+1/2,x,z'
'y+1/2,-x,-z'
'-x+1/2,-y+1/2,z'
'x+1/2,y+1/2,-z'
'y,-x+1/2,z'
'-y,x+1/2,-z'
'x+1/2,-y,-z'
'-x+1/2,y,z'
'-y,-x,-z'
'y,x,z'
'-x,y+1/2,-z'
'x,-y+1/2,z'
'y+1/2,x+1/2,-z'
'-y+1/2,-x+1/2,z'
loop_
_atom_site_label
_atom_site_type_symbol
_atom_site_fract_x
_atom_site_fract_y
_atom_site_fract_z
Tm1 Tm 0.2500 0.2500 0.1428
Re1 Re 0.2500 0.7500 0.5000
N1 N 0.2500 0.2500 0.6330
O1 O 0.2500 0.7500 0.0000
```

The structure with the most favorable energy is (x); the runner-up is 0.325 eV/atom above it.

(w)
VASP calculation (PBE) on crystalline SmSbNO at its relaxed geometry.

Cell and atoms, written as CIF:
```
data_SmSbNO
_symmetry_space_group_name_H-M 'P c a 21'
_symmetry_Int_Tables_number 29
_cell_length_a 5.6276
_cell_length_b 8.3074
_cell_length_c 5.9526
_cell_angle_alpha 90.00
_cell_angle_beta 90.00
_cell_angle_gamma 90.00
loop_
_symmetry_equiv_pos_as_xyz
'x,y,z'
'-x,-y,z+1/2'
'-x+1/2,y,z+1/2'
'x+1/2,-y,z'
loop_
_atom_site_label
_atom_site_type_symbol
_atom_site_fract_x
_atom_site_fract_y
_atom_site_fract_z
Sm1 Sm 0.0099 0.1312 0.0000
Sb1 Sb 0.0193 0.3748 0.5089
N1 N 0.1510 0.6017 0.5140
O1 O 0.2491 0.9864 0.2495
```

(x)
VASP calculation (PBE) on crystalline SmSbNO at its relaxed geometry.

Cell and atoms, written as CIF:
```
data_SmSbNO
_symmetry_space_group_name_H-M 'P 4/n m m'
_symmetry_Int_Tables_number 129
_cell_length_a 4.4948
_cell_length_b 4.4948
_cell_length_c 7.5975
_cell_angle_alpha 90.00
_cell_angle_beta 90.00
_cell_angle_gamma 90.00
loop_
_symmetry_equiv_pos_as_xyz
'x,y,z'
'-x,-y,-z'
'-y+1/2,x,z'
'y+1/2,-x,-z'
'-x+1/2,-y+1/2,z'
'x+1/2,y+1/2,-z'
'y,-x+1/2,z'
'-y,x+1/2,-z'
'x+1/2,-y,-z'
'-x+1/2,y,z'
'-y,-x,-z'
'y,x,z'
'-x,y+1/2,-z'
'x,-y+1/2,z'
'y+1/2,x+1/2,-z'
'-y+1/2,-x+1/2,z'
loop_
_atom_site_label
_atom_site_type_symbol
_atom_site_fract_x
_atom_site_fract_y
_atom_site_fract_z
Sm1 Sm 0.2500 0.2500 0.1185
Sb1 Sb 0.2500 0.7500 0.5000
N1 N 0.2500 0.2500 0.4237
O1 O 0.2500 0.7500 0.0000
```

The structure with the most favorable energy is (w); the runner-up is 0.260 eV/atom above it.